Here is PWBr2 after structural relaxation from Alexandria. Energies are from GGA-PBE.

abc: 9.5095 9.5095 7.1147
angles: 48.06 48.06 90.00
With the nearest neighbours (Å) after each atom.
Atoms (fractional coordinates):
P (0.5000, 0.5000, 0.0000)  2 W 2.32
P (0.2500, 0.7500, 0.5000)  2 W 2.32
Br (0.7673, 0.1250, 0.2500)  2 W 2.65
Br (0.9827, 0.6250, 0.2500)  2 W 2.65
Br (0.3750, 0.2327, 0.7500)  2 W 2.65
Br (0.8750, 0.0173, 0.7500)  2 W 2.65
W (0.0000, 0.0000, 0.0000)  2 P 2.32
W (0.7500, 0.2500, 0.5000)  2 P 2.32

## Properties
The raw formation energy comes out at 0.267 eV per atom. The density of states at the Fermi level is 0.008 states/eV/atom. The total moment is 0.250 μB per atom. Its space-group type is I-42d. The polymorph energy (0 for the lowest one) is 0.353 eV/atom. The calculation puts the total energy at -5.16 eV/atom.